Record 1
# PBE MgSnPt2N, optimized geometry
# **Formation energy from raw total energies**: 0.807 eV/atom
data_MgSnPt2N
_symmetry_space_group_name_H-M 'P 4/m m m'
_symmetry_Int_Tables_number 123
_symmetry_space_group_name_Hall '-P 4 2'
_cell_length_a 5.063
_cell_length_b 5.063
_cell_length_c 4.072
_cell_angle_alpha 90.00
_cell_angle_beta 90.00
_cell_angle_gamma 90.00
loop_
_atom_site_label
_atom_site_type_symbol
_atom_site_fract_x
_atom_site_fract_y
_atom_site_fract_z
Mg1 Mg 0.000 0.000 0.000
Sn1 Sn 0.500 0.500 0.500
Pt1 Pt 0.000 0.500 0.500
N1 N 0.500 0.500 0.000

---

Record 2
# PBE PmPr2Ho2Th2, optimized geometry
# **Energy relative to the elements**: 175.8 meV/atom
data_PmPr2Ho2Th2
_symmetry_space_group_name_H-M 'C 1 2/m 1'
_symmetry_Int_Tables_number 12
_cell_length_a 17.830
_cell_length_b 3.491
_cell_length_c 8.625
_cell_angle_alpha 90.00
_cell_angle_beta 117.83
_cell_angle_gamma 90.00
loop_
_symmetry_equiv_pos_as_xyz
'x,y,z'
'-x,-y,-z'
'-x,y,-z'
'x,-y,z'
'x+1/2,y+1/2,z'
'-x+1/2,-y+1/2,-z'
'-x+1/2,y+1/2,-z'
'x+1/2,-y+1/2,z'
loop_
_atom_site_label
_atom_site_type_symbol
_atom_site_fract_x
_atom_site_fract_y
_atom_site_fract_z
Pm1 Pm 0.000 0.000 0.000
Pr1 Pr 0.143 0.500 0.870
Ho1 Ho 0.211 0.000 0.302
Th1 Th 0.067 0.500 0.408

---

Record 3
# PBE Re2RhF, optimized geometry
# **Formation energy from raw total energies**: 0.379 eV/atom
# **Polymorph energy (0 for the lowest one)**: 0.00 eV per formula unit
data_Re2RhF
_symmetry_space_group_name_H-M 'F m -3 m'
_symmetry_Int_Tables_number 225
_symmetry_space_group_name_Hall '-F 4 2 3'
_cell_length_a 6.030
_cell_length_b 6.030
_cell_length_c 6.030
_cell_angle_alpha 90.00
_cell_angle_beta 90.00
_cell_angle_gamma 90.00
loop_
_atom_site_label
_atom_site_type_symbol
_atom_site_fract_x
_atom_site_fract_y
_atom_site_fract_z
Re1 Re 0.250 0.250 0.250
Rh1 Rh 0.000 0.000 0.000
F1 F 0.000 0.000 0.500

---

Record 4
# PBE CdAg3Mo, optimized geometry
# **Polymorph energy (0 for the lowest one)**: 0.46 eV per formula unit
# **Energy relative to the elements**: 1420.9 meV/atom
data_CdAg3Mo
_symmetry_space_group_name_H-M 'P m -3 m'
_symmetry_Int_Tables_number 221
_symmetry_space_group_name_Hall '-P 4 2 3'
_cell_length_a 5.223
_cell_length_b 5.223
_cell_length_c 5.223
_cell_angle_alpha 90.00
_cell_angle_beta 90.00
_cell_angle_gamma 90.00
loop_
_atom_site_label
_atom_site_type_symbol
_atom_site_fract_x
_atom_site_fract_y
_atom_site_fract_z
Cd1 Cd 0.000 0.000 0.000
Ag1 Ag 0.000 0.500 0.500
Mo1 Mo 0.500 0.500 0.500

---

Record 5
# PBE FeHS2N, optimized geometry
# **Polymorph energy (0 for the lowest one)**: 0.00 eV per formula unit
data_FeHS2N
_symmetry_space_group_name_H-M 'P 4/m m m'
_symmetry_Int_Tables_number 123
_symmetry_space_group_name_Hall '-P 4 2'
_cell_length_a 4.566
_cell_length_b 4.566
_cell_length_c 3.373
_cell_angle_alpha 90.00
_cell_angle_beta 90.00
_cell_angle_gamma 90.00
loop_
_atom_site_label
_atom_site_type_symbol
_atom_site_fract_x
_atom_site_fract_y
_atom_site_fract_z
Fe1 Fe 0.000 0.000 0.000
H1 H 0.500 0.500 0.500
S1 S 0.000 0.500 0.000
N1 N 0.000 0.000 0.500

---

Record 6
# PBE CeThCo2, optimized geometry
# **Polymorph energy (0 for the lowest one)**: 0.81 eV per formula unit
# **Energy relative to the elements**: -92.2 meV/atom
data_CeThCo2
_symmetry_space_group_name_H-M 'P 4/m m m'
_symmetry_Int_Tables_number 123
_symmetry_space_group_name_Hall '-P 4 2'
_cell_length_a 3.377
_cell_length_b 3.377
_cell_length_c 6.853
_cell_angle_alpha 90.00
_cell_angle_beta 90.00
_cell_angle_gamma 90.00
loop_
_atom_site_label
_atom_site_type_symbol
_atom_site_fract_x
_atom_site_fract_y
_atom_site_fract_z
Ce1 Ce 0.000 0.000 0.000
Th1 Th 0.000 0.000 0.500
Co1 Co 0.500 0.500 0.221